The following is a GGA-PBE calculation of crystalline Be2AsRh at its relaxed geometry, from Alexandria.

a b c (Å): 6.3053 6.3053 5.1612
angles (deg): 52.35 52.35 90.00
Atoms (fractional coordinates):
1 Be 0.6165 0.1250 0.2500
2 Be 0.1335 0.6250 0.2500
3 Be 0.3750 0.3835 0.7500
4 Be 0.8750 0.8665 0.7500
5 As 0.5000 0.5000 0.0000
6 As 0.2500 0.7500 0.5000
7 Rh 0.0000 0.0000 0.0000
8 Rh 0.7500 0.2500 0.5000

Output
Spin magnetization: 0.000 μB per cell
Electronic total energy: -37.41 eV for the cell shown
Formation energy: 0.19 eV per atom



The following is a GGA-PBE calculation of crystalline ErTh2In at its relaxed geometry, from Alexandria.

a b c (Å): 5.7197 6.0438 6.8811
angles (deg): 88.97 90.00 90.00
Atoms (fractional coordinates):
1 Er 0.2500 0.6120 0.6249
2 Er 0.7500 0.3880 0.3751
3 Th 0.7500 0.4126 0.8686
4 Th 0.2500 0.5874 0.1314
5 Th 0.2500 0.1027 0.8866
6 Th 0.7500 0.8973 0.1134
7 In 0.7500 0.9053 0.6134
8 In 0.2500 0.0947 0.3866

Output
Spin magnetization: 0.000 μB per cell
Electronic total energy: -44.77 eV for the cell shown
Formation energy: -0.06 eV per atom
ΔE to the lowest computed polymorph: 126 meV/atom



The following is a GGA-PBE calculation of crystalline PmNpP2Rh5 at its relaxed geometry, from Alexandria.

a b c (Å): 4.0831 4.0831 8.8228
angles (deg): 90.00 90.00 90.00
Each line ends with the local moment (μB).
Atoms (fractional coordinates):
1 Pm 0.0000 0.0000 0.0000  0.00
2 Np 0.0000 0.0000 0.5000  2.83
3 P 0.5000 0.5000 0.1327  -0.01
4 P 0.5000 0.5000 0.8673  -0.01
5 Rh 0.0000 0.5000 0.2666  -0.10
6 Rh 0.5000 0.0000 0.2666  -0.10
7 Rh 0.0000 0.5000 0.7334  -0.10
8 Rh 0.5000 0.0000 0.7334  -0.10
9 Rh 0.5000 0.5000 0.5000  -0.24

Output
Spin magnetization: 2.199 μB per cell
Electronic total energy: -72.85 eV for the cell shown
Formation energy: -0.84 eV per atom



The following is a GGA-PBE calculation of crystalline TmHf2MgIr4 at its relaxed geometry, from Alexandria.

a b c (Å): 4.6151 4.6151 8.0266
angles (deg): 73.29 73.29 60.00
Atoms (fractional coordinates):
1 Tm 0.0000 0.0000 0.0000
2 Hf 0.7544 0.7544 0.7368
3 Hf 0.2456 0.2456 0.2632
4 Mg 0.5000 0.5000 0.5000
5 Ir 0.3764 0.3764 0.8707
6 Ir 0.8748 0.8748 0.3757
7 Ir 0.1252 0.1252 0.6243
8 Ir 0.6236 0.6236 0.1293

Output
Spin magnetization: 0.000 μB per cell
Electronic total energy: -68.21 eV for the cell shown
Formation energy: -0.85 eV per atom